Entry 1:
# ScTiCr4, optimized geometry, DFT GGA-PBE
data_ScTiCr4
_symmetry_space_group_name_H-M 'F -4 3 m'
_symmetry_Int_Tables_number 216
_symmetry_space_group_name_Hall 'F -4 2 3'
_cell_length_a 6.9758
_cell_length_b 6.9758
_cell_length_c 6.9758
_cell_angle_alpha 90.00
_cell_angle_beta 90.00
_cell_angle_gamma 90.00
loop_
_atom_site_label
_atom_site_fract_x
_atom_site_fract_y
_atom_site_fract_z
_atom_site_occupancy
Sc1 0.0000 0.0000 0.0000 1
Ti1 0.2500 0.2500 0.2500 1
Cr1 0.1251 0.1251 0.6251 1
# - energy of formation from the pure elements (eV per atom) = 0.014



Entry 2:
# YScTi2Cr, optimized geometry, DFT GGA-PBE
data_YScTi2Cr
_symmetry_space_group_name_H-M 'P 4/m m m'
_symmetry_Int_Tables_number 123
_symmetry_space_group_name_Hall '-P 4 2'
_cell_length_a 4.7458
_cell_length_b 4.7458
_cell_length_c 4.9779
_cell_angle_alpha 90.00
_cell_angle_beta 90.00
_cell_angle_gamma 90.00
loop_
_atom_site_label
_atom_site_fract_x
_atom_site_fract_y
_atom_site_fract_z
_atom_site_occupancy
Y1 0.0000 0.0000 0.0000 1
Sc1 0.0000 0.0000 0.5000 1
Ti1 0.0000 0.5000 0.0000 1
Cr1 0.5000 0.5000 0.5000 1
# - energy of formation from the pure elements (eV per atom) = 1.881



Entry 3:
# Sc2TlCr, optimized geometry, DFT GGA-PBE
data_Sc2TlCr
_symmetry_space_group_name_H-M 'C 1 2/m 1'
_symmetry_Int_Tables_number 12
_cell_length_a 9.7084
_cell_length_b 3.2892
_cell_length_c 5.6683
_cell_angle_alpha 90.00
_cell_angle_beta 100.82
_cell_angle_gamma 90.00
loop_
_symmetry_equiv_pos_as_xyz
'x,y,z'
'-x,-y,-z'
'-x,y,-z'
'x,-y,z'
'x+1/2,y+1/2,z'
'-x+1/2,-y+1/2,-z'
'-x+1/2,y+1/2,-z'
'x+1/2,-y+1/2,z'
loop_
_atom_site_label
_atom_site_fract_x
_atom_site_fract_y
_atom_site_fract_z
_atom_site_occupancy
Sc1 0.2469 0.0000 0.2377 1
Tl1 0.0000 0.0000 0.5000 1
Cr1 0.0000 0.5000 0.0000 1
# - distance to the lowest polymorph of the same formula (kJ/mol of formula units) = 85.2
# - energy of formation from the pure elements (eV per atom) = 0.206



Entry 4:
# ScTl3Cr, optimized geometry, DFT GGA-PBE
data_ScTl3Cr
_symmetry_space_group_name_H-M 'P m -3 m'
_symmetry_Int_Tables_number 221
_symmetry_space_group_name_Hall '-P 4 2 3'
_cell_length_a 5.4831
_cell_length_b 5.4831
_cell_length_c 5.4831
_cell_angle_alpha 90.00
_cell_angle_beta 90.00
_cell_angle_gamma 90.00
loop_
_atom_site_label
_atom_site_fract_x
_atom_site_fract_y
_atom_site_fract_z
_atom_site_occupancy
Sc1 0.0000 0.0000 0.0000 1
Tl1 0.0000 0.0000 0.5000 1
Cr1 0.5000 0.5000 0.5000 1
# - distance to the lowest polymorph of the same formula (kJ/mol of formula units) = 386.9
# - energy of formation from the pure elements (eV per atom) = 1.381



Entry 5:
# ScTl2Cr, optimized geometry, DFT GGA-PBE
data_ScTl2Cr
_symmetry_space_group_name_H-M 'P 4 m m'
_symmetry_Int_Tables_number 99
_cell_length_a 3.6849
_cell_length_b 3.6849
_cell_length_c 6.7545
_cell_angle_alpha 90.00
_cell_angle_beta 90.00
_cell_angle_gamma 90.00
loop_
_symmetry_equiv_pos_as_xyz
'x,y,z'
'-y,x,z'
'-x,-y,z'
'y,-x,z'
'-x,y,z'
'y,x,z'
'x,-y,z'
'-y,-x,z'
loop_
_atom_site_label
_atom_site_fract_x
_atom_site_fract_y
_atom_site_fract_z
_atom_site_occupancy
Sc1 0.0000 0.0000 0.0000 1
Tl1 0.0000 0.0000 0.5520 1
Tl2 0.5000 0.5000 0.2546 1
Cr1 0.5000 0.5000 0.7916 1
# - energy of formation from the pure elements (eV per atom) = 0.264



Entry 6:
# ScTl2Cr, optimized geometry, DFT GGA-PBE
data_ScTl2Cr
_symmetry_space_group_name_H-M 'R -3 m'
_symmetry_Int_Tables_number 166
_symmetry_space_group_name_Hall '-R 3 2"'
_cell_length_a 3.4053
_cell_length_b 3.4053
_cell_length_c 27.6559
_cell_angle_alpha 90.00
_cell_angle_beta 90.00
_cell_angle_gamma 120.00
loop_
_atom_site_label
_atom_site_fract_x
_atom_site_fract_y
_atom_site_fract_z
_atom_site_occupancy
Sc1 0.0000 0.0000 0.0000 1
Tl1 0.0000 0.0000 0.2457 1
Cr1 0.0000 0.0000 0.5000 1
# - energy of formation from the pure elements (eV per atom) = 0.264



Entry 7:
# ScTl2Cr, optimized geometry, DFT GGA-PBE
data_ScTl2Cr
_symmetry_space_group_name_H-M 'C 1 m 1'
_symmetry_Int_Tables_number 8
_cell_length_a 11.4714
_cell_length_b 3.5693
_cell_length_c 4.8142
_cell_angle_alpha 90.00
_cell_angle_beta 114.50
_cell_angle_gamma 90.00
loop_
_symmetry_equiv_pos_as_xyz
'x,y,z'
'x,-y,z'
'x+1/2,y+1/2,z'
'x+1/2,-y+1/2,z'
loop_
_atom_site_label
_atom_site_fract_x
_atom_site_fract_y
_atom_site_fract_z
_atom_site_occupancy
Sc1 0.0000 0.0000 0.0000 1
Tl1 0.0243 0.5000 0.5246 1
Tl2 0.2627 0.5000 0.2610 1
Cr1 0.2724 0.0000 0.7714 1
# - energy of formation from the pure elements (eV per atom) = 0.236



Entry 8:
# Sc2TlCr, optimized geometry, DFT GGA-PBE
data_Sc2TlCr
_symmetry_space_group_name_H-M 'F -4 3 m'
_symmetry_Int_Tables_number 216
_symmetry_space_group_name_Hall 'F -4 2 3'
_cell_length_a 6.8924
_cell_length_b 6.8924
_cell_length_c 6.8924
_cell_angle_alpha 90.00
_cell_angle_beta 90.00
_cell_angle_gamma 90.00
loop_
_atom_site_label
_atom_site_fract_x
_atom_site_fract_y
_atom_site_fract_z
_atom_site_occupancy
Sc1 0.0000 0.0000 0.0000 1
Sc2 0.2500 0.2500 0.2500 1
Tl1 0.0000 0.0000 0.5000 1
Cr1 0.2500 0.2500 0.7500 1
# - distance to the lowest polymorph of the same formula (kJ/mol of formula units) = 55.9
# - energy of formation from the pure elements (eV per atom) = 0.130



Question: Which value of energy of formation from the pure elements does entry 1 give?
Answer: 0.014 eV per atom



Question: Look up the energy of formation from the pure elements of the sixth one.
Answer: 0.264 eV per atom



Question: The highest energy of formation from the pure elements belongs to which entry?
Answer: YScTi2Cr



Question: What is the energy of formation from the pure elements in the sixth record?
Answer: 0.264 eV per atom